# 1
VASP calculation (GGA-PBEsol) on crystalline CdMoRu2 at its relaxed geometry.

a = 2.759 Å, b = 4.005 Å, c = 5.495 Å
α = 90.00°, β = 90.00°, γ = 90.00°
Element x y z (fractional)
Cd 0.000 0.000 0.000
Mo 0.500 0.500 0.297
Ru 0.000 0.000 0.501
Ru 0.500 0.500 0.737

Computed properties:
Space group: Pmm2
Calculated formation energy: 0.3215 eV per atom
Total energy: -8.006 eV/atom

***

# 2
VASP calculation (GGA-PBEsol) on crystalline LiCuPO4 at its relaxed geometry.

a = 5.521 Å, b = 6.212 Å, c = 9.318 Å
α = 108.98°, β = 94.52°, γ = 96.88°
Element x y z (fractional)
Li 0.100 0.393 0.320
Li 0.156 0.863 0.332
Li 0.844 0.137 0.668
Li 0.900 0.607 0.680
Cu 0.284 0.289 0.915
Cu 0.493 0.842 0.729
Cu 0.507 0.158 0.271
Cu 0.716 0.711 0.085
P 0.203 0.795 0.977
P 0.355 0.333 0.603
P 0.645 0.667 0.397
P 0.797 0.205 0.023
O 0.062 0.323 0.083
O 0.201 0.195 0.686
O 0.232 0.930 0.150
O 0.256 0.568 0.630
O 0.284 0.196 0.426
O 0.285 0.959 0.885
O 0.370 0.642 0.351
O 0.380 0.613 0.942
O 0.620 0.387 0.058
O 0.630 0.358 0.649
O 0.715 0.041 0.115
O 0.716 0.804 0.574
O 0.744 0.432 0.370
O 0.768 0.070 0.850
O 0.799 0.805 0.314
O 0.938 0.677 0.917

Computed properties:
Offset from the most stable computed form: 0.014 eV/atom
Space group: P-1
Uncorrected formation energy: -1793 meV/atom
Total energy: -6.520 eV/atom

***

# 3
VASP calculation (GGA-PBEsol) on crystalline KBaYB6O12 at its relaxed geometry.

a = 7.151 Å, b = 7.151 Å, c = 7.151 Å
α = 60.36°, β = 60.36°, γ = 60.36°
Element x y z (fractional)
K 0.000 0.000 0.000
Ba 0.579 0.579 0.579
Y 0.789 0.789 0.789
B 0.031 0.158 0.420
B 0.151 0.535 0.425
B 0.158 0.420 0.031
B 0.420 0.031 0.158
B 0.425 0.151 0.535
B 0.535 0.425 0.151
O 0.119 0.617 0.863
O 0.210 0.317 0.584
O 0.247 0.993 0.371
O 0.317 0.584 0.210
O 0.371 0.247 0.993
O 0.475 0.947 0.692
O 0.584 0.210 0.317
O 0.617 0.863 0.119
O 0.692 0.475 0.947
O 0.863 0.119 0.617
O 0.947 0.692 0.475
O 0.993 0.371 0.247

Computed properties:
Space group: R3
Uncorrected formation energy: -2680 meV/atom
Total energy: -8.166 eV/atom